Entry from the Alexandria database: a geometry-optimized Mn3NbO8 structure (PBE+U).

```
Mn3NbO8
1.0
5.924 0.000 0.000
-2.962 5.130 0.000
0.000 0.000 9.362
Mn Nb O
6 2 16
direct
0.168 0.336 0.000
0.168 0.832 0.000
0.336 0.168 0.500
0.664 0.832 0.000
0.832 0.168 0.500
0.832 0.664 0.500
0.333 0.667 0.285
0.667 0.333 0.785
0.000 0.000 0.095
0.000 0.000 0.595
0.042 0.521 0.122
0.167 0.334 0.383
0.167 0.833 0.383
0.333 0.667 0.898
0.334 0.167 0.883
0.479 0.521 0.122
0.479 0.958 0.122
0.521 0.042 0.622
0.521 0.479 0.622
0.666 0.833 0.383
0.667 0.333 0.398
0.833 0.167 0.883
0.833 0.666 0.883
0.958 0.479 0.622
```

**Size of the total moment**: 10.00 μB/f.u.
**Raw total energy**: -7.666 eV per atom